No. 1
# Pa2Pd4Se5

A relaxed structure of Pa2Pd4Se5 (PBE, the Alexandria database).

Calculated values
- uncorrected formation energy (eV/atom) = -0.653
- SG = No. 166
- E (hartree per atom) = -0.2151
- total magnetic moment (Bohr magnetons per cell) = 0.00

extended XYZ file:
```
11
Lattice="-0.8806 3.3212 -2.3165 -2.4816 2.9658 1.4891 11.9684 9.9165 5.9611" Properties=species:S:1:pos:R:3 pbc="T T T"
Pa 6.7035 6.7707 3.4524
Pa 1.9026 9.4329 1.6813
Pd 9.0645 13.7121 5.0938
Pd 1.1976 6.2462 1.0871
Pd 7.4086 9.9573 4.0466
Pd -0.4583 2.4915 0.0398
Se 5.7704 11.7438 3.5242
Se -0.8596 5.0171 0.1069
Se 4.3031 8.1018 2.5668
Se 9.4658 11.1865 5.0268
Se 2.8358 4.4597 1.6095
```



No. 2
# Pa2PdSe5

A relaxed structure of Pa2PdSe5 (PBE, the Alexandria database).

Calculated values
- uncorrected formation energy (eV/atom) = -1.059
- SG = No. 55
- E (hartree per atom) = -0.2300
- E above lowest polymorph (meV per atom) = 0
- total magnetic moment (Bohr magnetons per cell) = 2.11

extended XYZ file:
```
16
Lattice="3.8974 0.0000 0.0000 0.0000 7.8690 0.0000 0.0000 0.0000 11.8908" Properties=species:S:1:pos:R:3 pbc="T T T"
Pa 1.9487 4.0023 2.1568
Pa 1.9487 3.8667 9.7340
Pa 1.9487 7.8012 8.1022
Pa 1.9487 0.0678 3.7886
Pd 0.0000 3.9345 5.9454
Pd 0.0000 0.0000 0.0000
Se 0.0000 0.0000 5.9454
Se 0.0000 3.9345 0.0000
Se 0.0000 6.3038 2.3173
Se 0.0000 1.5652 9.5735
Se 0.0000 5.4997 8.2627
Se 0.0000 2.3693 3.6281
Se 1.9487 5.1446 4.8045
Se 1.9487 2.7244 7.0863
Se 1.9487 6.6589 10.7499
Se 1.9487 1.2101 1.1409
```



No. 3
# PaPdSe

A relaxed structure of PaPdSe (PBE, the Alexandria database).

Calculated values
- uncorrected formation energy (eV/atom) = -0.708
- SG = No. 156
- E (hartree per atom) = -0.2486
- E above lowest polymorph (meV per atom) = 117
- total magnetic moment (Bohr magnetons per cell) = 0.75

extended XYZ file:
```
3
Lattice="3.6672 0.0000 0.0000 0.0000 4.4530 0.0000 0.0000 -2.2265 3.8564" Properties=species:S:1:pos:R:3 pbc="T T T"
Pa 0.1337 0.0000 0.0000
Se 2.1105 0.0000 2.5710
Pd 1.4230 2.2265 1.2855
```